Entry w
## YRuRh (PBEsol)

Data for a relaxed structure of YRuRh.

```
data_YRuRh
_symmetry_space_group_name_H-M 'F -4 3 m'
_symmetry_Int_Tables_number 216
_symmetry_space_group_name_Hall 'F -4 2 3'
_cell_length_a 6.166
_cell_length_b 6.166
_cell_length_c 6.166
_cell_angle_alpha 90.00
_cell_angle_beta 90.00
_cell_angle_gamma 90.00
loop_
_atom_site_label
_atom_site_type_symbol
_atom_site_fract_x
_atom_site_fract_y
_atom_site_fract_z
Y1 Y 0.000 0.000 0.000
Ru1 Ru 0.250 0.250 0.750
Rh1 Rh 0.250 0.250 0.250
```

Output
Volume = 58.6 Å³/f.u.
Magnetization = 0.0 μB/f.u.

***

Entry x
## YRuRh (PBEsol)

Data for a relaxed structure of YRuRh.

```
data_YRuRh
_symmetry_space_group_name_H-M 'P 3 m 1'
_symmetry_Int_Tables_number 156
_symmetry_space_group_name_Hall 'P 3 -2"'
_cell_length_a 3.0687
_cell_length_b 3.0687
_cell_length_c 6.4348
_cell_angle_alpha 90.00
_cell_angle_beta 90.00
_cell_angle_gamma 120.00
loop_
_atom_site_label
_atom_site_type_symbol
_atom_site_fract_x
_atom_site_fract_y
_atom_site_fract_z
Y1 Y 0.0000 0.0000 0.0000
Ru1 Ru 0.6667 0.3333 0.3468
Rh1 Rh 0.3333 0.6667 0.6511
```

Output
Volume = 52.5 Å³/f.u.
Magnetization = 0.0 μB/f.u.

***

Entry y
## YRuRh (PBEsol)

Data for a relaxed structure of YRuRh.

```
data_YRuRh
_symmetry_space_group_name_H-M 'I 4 m m'
_symmetry_Int_Tables_number 107
_symmetry_space_group_name_Hall 'I 4 -2'
_cell_length_a 3.325
_cell_length_b 3.325
_cell_length_c 9.649
_cell_angle_alpha 90.00
_cell_angle_beta 90.00
_cell_angle_gamma 90.00
loop_
_atom_site_label
_atom_site_type_symbol
_atom_site_fract_x
_atom_site_fract_y
_atom_site_fract_z
Y1 Y 0.000 0.000 0.000
Ru1 Ru 0.000 0.000 0.307
Rh1 Rh 0.000 0.000 0.694
```

Output
Volume = 53.3 Å³/f.u.
Magnetization = 0.8 μB/f.u.

***

Best to worst by energy: entry y, entry x, entry w.

***

Entry w
## Sb2TeRhS (PBEsol)

Data for a relaxed structure of Sb2TeRhS.

```
data_Sb2TeRhS
_symmetry_space_group_name_H-M 'P 4/m m m'
_symmetry_Int_Tables_number 123
_symmetry_space_group_name_Hall '-P 4 2'
_cell_length_a 5.012
_cell_length_b 5.012
_cell_length_c 5.171
_cell_angle_alpha 90.00
_cell_angle_beta 90.00
_cell_angle_gamma 90.00
loop_
_atom_site_label
_atom_site_type_symbol
_atom_site_fract_x
_atom_site_fract_y
_atom_site_fract_z
Sb1 Sb 0.000 0.500 0.000
Te1 Te 0.000 0.000 0.500
Rh1 Rh 0.000 0.000 0.000
S1 S 0.500 0.500 0.500
```

Output
Volume = 129.9 Å³/f.u.
Magnetization = 0.0 μB/f.u.

***

Entry x
## Sb2TeRhS (PBEsol)

Data for a relaxed structure of Sb2TeRhS.

```
data_Sb2TeRhS
_symmetry_space_group_name_H-M 'P 4/m m m'
_symmetry_Int_Tables_number 123
_symmetry_space_group_name_Hall '-P 4 2'
_cell_length_a 5.324
_cell_length_b 5.324
_cell_length_c 4.279
_cell_angle_alpha 90.00
_cell_angle_beta 90.00
_cell_angle_gamma 90.00
loop_
_atom_site_label
_atom_site_type_symbol
_atom_site_fract_x
_atom_site_fract_y
_atom_site_fract_z
Sb1 Sb 0.000 0.500 0.000
Te1 Te 0.000 0.000 0.500
Rh1 Rh 0.500 0.500 0.000
S1 S 0.500 0.500 0.500
```

Output
Volume = 121.3 Å³/f.u.
Magnetization = 0.0 μB/f.u.

***

Best to worst by energy: entry x, entry w.

***

Entry w
## Tl2SbRh (PBEsol)

Data for a relaxed structure of Tl2SbRh.

```
data_Tl2SbRh
_symmetry_space_group_name_H-M 'F m -3 m'
_symmetry_Int_Tables_number 225
_symmetry_space_group_name_Hall '-F 4 2 3'
_cell_length_a 7.056
_cell_length_b 7.056
_cell_length_c 7.056
_cell_angle_alpha 90.00
_cell_angle_beta 90.00
_cell_angle_gamma 90.00
loop_
_atom_site_label
_atom_site_type_symbol
_atom_site_fract_x
_atom_site_fract_y
_atom_site_fract_z
Tl1 Tl 0.250 0.250 0.250
Sb1 Sb 0.000 0.000 0.000
Rh1 Rh 0.000 0.000 0.500
```

Output
Volume = 87.8 Å³/f.u.
Magnetization = 0.0 μB/f.u.

***

Entry x
## Tl2SbRh (PBEsol)

Data for a relaxed structure of Tl2SbRh.

```
data_Tl2SbRh
_symmetry_space_group_name_H-M 'C 1 2/m 1'
_symmetry_Int_Tables_number 12
_symmetry_space_group_name_Hall '-C 2y'
_cell_length_a 5.753
_cell_length_b 10.893
_cell_length_c 3.485
_cell_angle_alpha 90.00
_cell_angle_beta 125.39
_cell_angle_gamma 90.00
loop_
_atom_site_label
_atom_site_type_symbol
_atom_site_fract_x
_atom_site_fract_y
_atom_site_fract_z
Tl1 Tl 0.250 0.250 0.000
Sb1 Sb 0.000 0.000 0.500
Rh1 Rh 0.000 0.500 0.500
```

Output
Volume = 89.0 Å³/f.u.
Magnetization = 0.0 μB/f.u.

***

Best to worst by energy: entry x, entry w.

***

Entry w
## Sc5Rh (PBEsol)

Data for a relaxed structure of Sc5Rh.

```
data_Sc5Rh
_symmetry_space_group_name_H-M 'C 1 2/m 1'
_symmetry_Int_Tables_number 12
_symmetry_space_group_name_Hall '-C 2y'
_cell_length_a 10.930
_cell_length_b 3.316
_cell_length_c 7.476
_cell_angle_alpha 90.00
_cell_angle_beta 111.16
_cell_angle_gamma 90.00
loop_
_atom_site_label
_atom_site_type_symbol
_atom_site_fract_x
_atom_site_fract_y
_atom_site_fract_z
Sc1 Sc 0.000 0.000 0.000
Sc2 Sc 0.138 0.500 0.367
Sc3 Sc 0.167 0.500 0.797
Rh1 Rh 0.000 0.000 0.500
```

Output
Volume = 126.3 Å³/f.u.
Magnetization = 0.0 μB/f.u.

***

Entry x
## Sc5Rh (PBEsol)

Data for a relaxed structure of Sc5Rh.

```
data_Sc5Rh
_symmetry_space_group_name_H-M 'C m m m'
_symmetry_Int_Tables_number 65
_symmetry_space_group_name_Hall '-C 2 2'
_cell_length_a 3.518
_cell_length_b 14.539
_cell_length_c 4.885
_cell_angle_alpha 90.00
_cell_angle_beta 90.00
_cell_angle_gamma 90.00
loop_
_atom_site_label
_atom_site_type_symbol
_atom_site_fract_x
_atom_site_fract_y
_atom_site_fract_z
Sc1 Sc 0.000 0.000 0.000
Sc2 Sc 0.000 0.139 0.500
Sc3 Sc 0.000 0.330 0.000
Rh1 Rh 0.000 0.500 0.500
```

Output
Volume = 124.9 Å³/f.u.
Magnetization = 0.0 μB/f.u.

***

Best to worst by energy: entry w, entry x.

***

Entry w
## Sc5Rh3 (PBEsol)

Data for a relaxed structure of Sc5Rh3.

```
data_Sc5Rh3
_symmetry_space_group_name_H-M 'P 63/m c m'
_symmetry_Int_Tables_number 193
_symmetry_space_group_name_Hall '-P 6c 2'
_cell_length_a 7.7080
_cell_length_b 7.7080
_cell_length_c 5.6661
_cell_angle_alpha 90.00
_cell_angle_beta 90.00
_cell_angle_gamma 120.00
loop_
_atom_site_label
_atom_site_type_symbol
_atom_site_fract_x
_atom_site_fract_y
_atom_site_fract_z
Sc1 Sc 0.0000 0.2420 0.2500
Sc2 Sc 0.3333 0.6667 0.0000
Rh1 Rh 0.0000 0.4047 0.7500
```

Output
Volume = 145.8 Å³/f.u.
Magnetization = 0.0 μB/f.u.

***

Entry x
## Sc5Rh3 (PBEsol)

Data for a relaxed structure of Sc5Rh3.

```
data_Sc5Rh3
_symmetry_space_group_name_H-M 'C m m m'
_symmetry_Int_Tables_number 65
_symmetry_space_group_name_Hall '-C 2 2'
_cell_length_a 6.776
_cell_length_b 9.204
_cell_length_c 4.479
_cell_angle_alpha 90.00
_cell_angle_beta 90.00
_cell_angle_gamma 90.00
loop_
_atom_site_label
_atom_site_type_symbol
_atom_site_fract_x
_atom_site_fract_y
_atom_site_fract_z
Sc1 Sc 0.000 0.000 0.000
Sc2 Sc 0.223 0.500 0.500
Sc3 Sc 0.250 0.250 0.000
Rh1 Rh 0.000 0.232 0.500
Rh2 Rh 0.000 0.500 0.000
```

Output
Volume = 139.7 Å³/f.u.
Magnetization = 0.0 μB/f.u.

***

Best to worst by energy: entry w, entry x.

***

Entry w
## ScRh4 (PBEsol)

Data for a relaxed structure of ScRh4.

```
data_ScRh4
_symmetry_space_group_name_H-M 'I m -3 m'
_symmetry_Int_Tables_number 229
_symmetry_space_group_name_Hall '-I 4 2 3'
_cell_length_a 5.575
_cell_length_b 5.575
_cell_length_c 5.575
_cell_angle_alpha 90.00
_cell_angle_beta 90.00
_cell_angle_gamma 90.00
loop_
_atom_site_label
_atom_site_type_symbol
_atom_site_fract_x
_atom_site_fract_y
_atom_site_fract_z
Sc1 Sc 0.000 0.000 0.000
Rh1 Rh 0.250 0.250 0.250
```

Output
Volume = 86.6 Å³/f.u.
Magnetization = 0.0 μB/f.u.

***

Entry x
## ScRh4 (PBEsol)

Data for a relaxed structure of ScRh4.

```
data_ScRh4
_symmetry_space_group_name_H-M 'I 4/m'
_symmetry_Int_Tables_number 87
_symmetry_space_group_name_Hall '-I 4'
_cell_length_a 6.077
_cell_length_b 6.077
_cell_length_c 3.891
_cell_angle_alpha 90.00
_cell_angle_beta 90.00
_cell_angle_gamma 90.00
loop_
_atom_site_label
_atom_site_type_symbol
_atom_site_fract_x
_atom_site_fract_y
_atom_site_fract_z
Sc1 Sc 0.000 0.000 0.000
Rh1 Rh 0.099 0.308 0.500
```

Output
Volume = 71.8 Å³/f.u.
Magnetization = 0.0 μB/f.u.

***

Best to worst by energy: entry x, entry w.

***

Entry w
## ScRhSe2 (PBEsol)

Data for a relaxed structure of ScRhSe2.

```
data_ScRhSe2
_symmetry_space_group_name_H-M 'R -3 m'
_symmetry_Int_Tables_number 166
_symmetry_space_group_name_Hall '-R 3 2"'
_cell_length_a 3.9124
_cell_length_b 3.9124
_cell_length_c 16.4279
_cell_angle_alpha 90.00
_cell_angle_beta 90.00
_cell_angle_gamma 120.00
loop_
_atom_site_label
_atom_site_type_symbol
_atom_site_fract_x
_atom_site_fract_y
_atom_site_fract_z
Sc1 Sc 0.0000 0.0000 0.0000
Rh1 Rh 0.0000 0.0000 0.5000
Se1 Se 0.0000 0.0000 0.2440
```

Output
Volume = 72.6 Å³/f.u.
Magnetization = 0.0 μB/f.u.

***

Entry x
## ScRhSe2 (PBEsol)

Data for a relaxed structure of ScRhSe2.

```
data_ScRhSe2
_symmetry_space_group_name_H-M 'P 4/m m m'
_symmetry_Int_Tables_number 123
_symmetry_space_group_name_Hall '-P 4 2'
_cell_length_a 3.249
_cell_length_b 3.249
_cell_length_c 6.362
_cell_angle_alpha 90.00
_cell_angle_beta 90.00
_cell_angle_gamma 90.00
loop_
_atom_site_label
_atom_site_type_symbol
_atom_site_fract_x
_atom_site_fract_y
_atom_site_fract_z
Sc1 Sc 0.000 0.000 0.000
Rh1 Rh 0.000 0.000 0.500
Se1 Se 0.500 0.500 0.247
```

Output
Volume = 67.2 Å³/f.u.
Magnetization = 0.0 μB/f.u.

***

Best to worst by energy: entry w, entry x.